1.
DFT (PBE) results for a relaxed structure of La2CrFe.

Results
ΔE_f: 0.3683 eV per atom
offset from the most stable computed form: 9.6 meV per atom

Cell lengths 3.677, 3.303, 8.186 Å; angles 74.93, 90.00, 90.00 degrees
Element x y z (fractional)
Fe1 0.500 0.734 0.670
Cr1 0.000 0.507 0.585
La1 0.500 0.263 0.341
La2 0.000 0.997 0.904

2.
DFT (PBE) results for a relaxed structure of Ag2HgP.

Results
ΔE_f: 0.2515 eV per atom
offset from the most stable computed form: 0.0 meV per atom

Cell lengths 4.704, 4.704, 6.414 Å; angles 71.68, 71.68, 38.46 degrees
Element x y z (fractional)
Ag1 0.025 0.025 0.949
P1 0.772 0.772 0.855
Ag2 0.241 0.241 0.216
Hg1 0.463 0.463 0.481

3.
DFT (PBE) results for a relaxed structure of MgTe2P.

Results
energy relative to the elements, uncorrected: -0.12 eV per atom
offset from the most stable computed form: 97.5 meV per atom

Cell lengths 7.700, 7.700, 3.685 Å; angles 76.07, 76.07, 31.17 degrees
Element x y z (fractional)
Te1 0.398 0.398 0.601
Mg1 0.750 0.750 0.750
Te2 0.102 0.102 0.899
P1 0.250 0.250 0.250

4.
DFT (PBE) results for a relaxed structure of KCu4Br8.

Results
energy relative to the elements, uncorrected: -0.39 eV per atom

Cell lengths 7.860, 7.860, 7.860 Å; angles 61.17, 61.17, 61.17 degrees
Element x y z (fractional)
Cu1 0.000 0.500 0.500
Br1 0.270 0.270 0.709
K1 0.000 0.000 0.000
Br2 0.264 0.264 0.264
Br3 0.270 0.709 0.270
Cu2 0.500 0.500 0.500
Br4 0.730 0.291 0.730
Br5 0.730 0.730 0.291
Br6 0.709 0.270 0.270
Br7 0.291 0.730 0.730
Cu3 0.500 0.500 0.000
Br8 0.736 0.736 0.736
Cu4 0.500 0.000 0.500

5.
DFT (PBE) results for a relaxed structure of Zn2AgPt.

Results
ΔE_f: -0.2737 eV per atom

Cell lengths 5.025, 5.025, 4.603 Å; angles 74.67, 74.67, 33.31 degrees
Element x y z (fractional)
Ag1 0.493 0.493 0.549
Zn1 0.003 0.003 0.049
Pt1 0.261 0.261 0.194
Zn2 0.743 0.743 0.708

6.
DFT (PBE) results for a relaxed structure of LaAl3W.

Results
ΔE_f: 2.3908 eV per atom
offset from the most stable computed form: 2415.8 meV per atom

Cell lengths 5.176, 5.176, 5.176 Å; angles 90.00, 90.00, 90.00 degrees
Element x y z (fractional)
Al1 0.000 0.000 0.500
La1 0.000 0.000 0.000
Al2 0.000 0.500 0.000
Al3 0.500 0.000 0.000
W1 0.500 0.500 0.500

Computed final energy, in the same sequence as the records: -6.617, -2.602, -3.441, -2.763, -3.134, -3.431 eV/atom.